VASP calculation (GGA-PBE) on RuPbI after structural relaxation.

a = 5.924 Å, b = 3.850 Å, c = 7.147 Å
α = 90.00°, β = 93.65°, γ = 90.00°
Space group P2_1/m (No. 11)
Inequivalent atoms, fractional coordinates:
Ru 0.175 0.250 0.495 (multiplicity 2)
Pb 0.093 0.750 0.202 (multiplicity 2)
I 0.415 0.750 0.695 (multiplicity 2)

Calculated volume   81.3 Å³/f.u.
Size of the total moment   0.00 μB/f.u.
Distance to the lowest polymorph of the same formula   0.0770 eV/atom
Formation energy (no corrections)   0.282 eV/atom


VASP calculation (GGA-PBE) on MgSc2As after structural relaxation.

a = 3.627 Å, b = 3.627 Å, c = 6.177 Å
α = 90.00°, β = 90.00°, γ = 90.00°
Space group P4/mmm (No. 123)
Inequivalent atoms, fractional coordinates:
Mg 0.000 0.000 0.000 (multiplicity 1)
Sc 0.500 0.500 0.268 (multiplicity 2)
As 0.000 0.000 0.500 (multiplicity 1)

Formation enthalpy at 0 K   -585 meV/atom
Calculated volume   81.2 Å³/f.u.
Size of the total moment   0.66 μB/f.u.


VASP calculation (GGA-PBE) on TeP after structural relaxation.

a = 11.732 Å, b = 3.432 Å, c = 9.607 Å
α = 90.00°, β = 104.54°, γ = 90.00°
Space group Cm (No. 8)
Inequivalent atoms, fractional coordinates:
Te 0.000 0.000 0.000 (multiplicity 2)
Te 0.101 0.500 0.390 (multiplicity 2)
Te 0.280 0.500 0.257 (multiplicity 2)
P 0.192 0.500 0.661 (multiplicity 2)
P 0.324 0.000 0.682 (multiplicity 2)
P 0.339 0.000 0.921 (multiplicity 2)

Calculated volume   62.4 Å³/f.u.
Size of the total moment   0.00 μB/f.u.
Formation energy (no corrections)   0.147 eV/atom


VASP calculation (GGA-PBE) on AgI2Br6 after structural relaxation.

a = 13.501 Å, b = 16.169 Å, c = 7.245 Å
α = 90.00°, β = 113.78°, γ = 90.00°
Space group C2/c (No. 15)
Inequivalent atoms, fractional coordinates:
Ag 0.000 0.166 0.250 (multiplicity 4)
I 0.160 0.408 0.229 (multiplicity 8)
Br 0.083 0.042 0.556 (multiplicity 8)
Br 0.151 0.429 0.728 (multiplicity 8)
Br 0.163 0.240 0.200 (multiplicity 8)

Calculated volume   361.8 Å³/f.u.
Size of the total moment   0.00 μB/f.u.
Distance to the lowest polymorph of the same formula   0.0000 eV/atom
Formation energy (no corrections)   -0.051 eV/atom


VASP calculation (GGA-PBE) on TbCdGaPt after structural relaxation.

a = 6.847 Å, b = 6.847 Å, c = 6.847 Å
α = 90.00°, β = 90.00°, γ = 90.00°
Space group F-43m (No. 216)
Inequivalent atoms, fractional coordinates:
Tb 0.000 0.000 0.000 (multiplicity 4)
Cd 0.000 0.000 0.500 (multiplicity 4)
Ga 0.250 0.250 0.250 (multiplicity 4)
Pt 0.250 0.250 0.750 (multiplicity 4)

Formation enthalpy at 0 K   -632 meV/atom
Calculated volume   80.3 Å³/f.u.
Size of the total moment   0.00 μB/f.u.


VASP calculation (GGA-PBE) on Pr2NdPu after structural relaxation.

a = 3.6509 Å, b = 3.6509 Å, c = 35.4314 Å
α = 90.00°, β = 90.00°, γ = 120.00°
Space group R3m (No. 160, hexagonal axes)
Inequivalent atoms, fractional coordinates:
Pr 0.0000 0.0000 0.0000 (multiplicity 3)
Pr 0.0000 0.0000 0.1720 (multiplicity 3)
Nd 0.0000 0.0000 0.4194 (multiplicity 3)
Pu 0.0000 0.0000 0.5861 (multiplicity 3)

Formation enthalpy at 0 K   134 meV/atom
Calculated volume   136.3 Å³/f.u.
Size of the total moment   6.26 μB/f.u.
Distance to the lowest polymorph of the same formula   0.0126 eV/atom


VASP calculation (GGA-PBE) on FeGe3Au after structural relaxation.

a = 4.566 Å, b = 4.566 Å, c = 4.566 Å
α = 90.00°, β = 90.00°, γ = 90.00°
Space group Pm-3m (No. 221)
Inequivalent atoms, fractional coordinates:
Fe 0.000 0.000 0.000 (multiplicity 1)
Ge 0.000 0.000 0.500 (multiplicity 3)
Au 0.500 0.500 0.500 (multiplicity 1)

Formation enthalpy at 0 K   185 meV/atom
Calculated volume   95.2 Å³/f.u.
Size of the total moment   0.00 μB/f.u.
Distance to the lowest polymorph of the same formula   0.0000 eV/atom


VASP calculation (GGA-PBE) on Os2RuBr after structural relaxation.

a = 6.269 Å, b = 6.269 Å, c = 6.269 Å
α = 90.00°, β = 90.00°, γ = 90.00°
Space group Fm-3m (No. 225)
Inequivalent atoms, fractional coordinates:
Os 0.250 0.250 0.250 (multiplicity 8)
Ru 0.000 0.000 0.000 (multiplicity 4)
Br 0.000 0.000 0.500 (multiplicity 4)

Calculated volume   61.6 Å³/f.u.
Size of the total moment   0.00 μB/f.u.
Distance to the lowest polymorph of the same formula   0.6912 eV/atom
Formation energy (no corrections)   1.415 eV/atom


VASP calculation (GGA-PBE) on KCl after structural relaxation.

a = 7.063 Å, b = 7.063 Å, c = 7.063 Å
α = 90.00°, β = 90.00°, γ = 90.00°
Space group F-43m (No. 216)
Inequivalent atoms, fractional coordinates:
K 0.000 0.000 0.000 (multiplicity 4)
Cl 0.250 0.250 0.250 (multiplicity 4)

Calculated volume   88.1 Å³/f.u.
Size of the total moment   0.13 μB/f.u.
Formation energy (no corrections)   -1.858 eV/atom


VASP calculation (GGA-PBE) on Cs2PuCuO6 after structural relaxation.

a = 6.5620 Å, b = 6.5620 Å, c = 5.4207 Å
α = 90.00°, β = 90.00°, γ = 120.00°
Space group P-3m1 (No. 164)
Inequivalent atoms, fractional coordinates:
Cs 0.3333 0.6667 0.1934 (multiplicity 2)
Pu 0.0000 0.0000 0.5000 (multiplicity 1)
Cu 0.0000 0.0000 0.0000 (multiplicity 1)
O 0.1347 0.2694 0.7397 (multiplicity 6)

Calculated volume   202.1 Å³/f.u.
Size of the total moment   1.04 μB/f.u.
Formation energy (no corrections)   -1.640 eV/atom


VASP calculation (GGA-PBE) on Ac2TbMg after structural relaxation.

a = 3.7478 Å, b = 3.7478 Å, c = 39.1666 Å
α = 90.00°, β = 90.00°, γ = 120.00°
Space group R-3m (No. 166, hexagonal axes)
Inequivalent atoms, fractional coordinates:
Ac 0.0000 0.0000 0.0900 (multiplicity 6)
Tb 0.0000 0.0000 0.5000 (multiplicity 3)
Mg 0.0000 0.0000 0.0000 (multiplicity 3)

Formation enthalpy at 0 K   252 meV/atom
Calculated volume   158.8 Å³/f.u.
Size of the total moment   0.00 μB/f.u.
Distance to the lowest polymorph of the same formula   0.2541 eV/atom


VASP calculation (GGA-PBE) on Mn2ReCl after structural relaxation.

a = 3.590 Å, b = 3.590 Å, c = 9.560 Å
α = 90.00°, β = 90.00°, γ = 90.00°
Space group I-4m2 (No. 119)
Inequivalent atoms, fractional coordinates:
Mn 0.000 0.000 0.000 (multiplicity 2)
Mn 0.000 0.500 0.250 (multiplicity 2)
Re 0.000 0.500 0.750 (multiplicity 2)
Cl 0.000 0.000 0.500 (multiplicity 2)

Calculated volume   61.6 Å³/f.u.
Size of the total moment   5.98 μB/f.u.
Distance to the lowest polymorph of the same formula   0.8154 eV/atom
Formation energy (no corrections)   0.915 eV/atom